CoPbSO: relaxed, PBE with a Hubbard U.

Results
ρ   7.304 g/cm3
Energy relative to the lowest polymorph listed for this composition   95 meV per atom
Total energy   -5.111 eV/atom

abc: 6.539 6.539 5.933
angles: 90.00 90.00 145.72
Positions (direct):
Co1 0.099 0.901 0.750
Co2 0.901 0.099 0.250
Pb1 0.386 0.614 0.750
Pb2 0.614 0.386 0.250
S1 0.296 0.704 0.250
S2 0.704 0.296 0.750
O1 0.000 0.000 0.000
O2 0.000 0.000 0.500